(1)
The following is a GGA-PBE calculation of MnTl2HgBr6 after structural relaxation, from the Alexandria database.

Cell: 7.3159 7.4108 8.0020 Å, 95.06 114.92 116.34°
Positions (direct):
1 Mn 0.0000 0.0000 0.0000
2 Tl 0.4649 0.7290 0.2023
3 Tl 0.5335 0.2721 0.7999
4 Hg 0.0004 0.5004 0.5020
5 Br 0.0203 0.2885 0.8290
6 Br 0.1172 0.2737 0.3612
7 Br 0.4593 0.1791 0.1719
8 Br 0.5416 0.8243 0.8310
9 Br 0.8860 0.7317 0.6404
10 Br 0.9797 0.7132 0.1717

calculated volume	33.18	Å³/atom
formation energy (no corrections)	-681	meV/atom
total magnetic moment	0.500	μB/atom

---

(2)
The following is a GGA-PBE calculation of Zr2MnHgBr after structural relaxation, from the Alexandria database.

Cell: 4.9086 4.9086 4.6265 Å, 90.00 90.00 90.00°
Positions (direct):
1 Zr 0.0000 0.5000 0.0000
2 Zr 0.5000 0.0000 0.0000
3 Mn 0.0000 0.0000 0.0000
4 Hg 0.5000 0.5000 0.5000
5 Br 0.0000 0.0000 0.5000

D(E_F)	0.997	states/eV per atom
calculated volume	22.29	Å³/atom
formation energy (no corrections)	462	meV/atom
total magnetic moment	0.000	μB/atom

---

(3)
The following is a GGA-PBE calculation of Hg2MoBr after structural relaxation, from the Alexandria database.

Cell: 3.3547 3.3547 26.9873 Å, 90.00 90.00 120.00°
Positions (direct):
1 Hg 0.0000 0.0000 0.2455
2 Hg 0.0000 0.0000 0.7545
3 Hg 0.3333 0.6667 0.4212
4 Hg 0.3333 0.6667 0.9121
5 Hg 0.6667 0.3333 0.0879
6 Hg 0.6667 0.3333 0.5788
7 Mo 0.0000 0.0000 0.5000
8 Mo 0.3333 0.6667 0.1667
9 Mo 0.6667 0.3333 0.8333
10 Br 0.0000 0.0000 0.0000
11 Br 0.3333 0.6667 0.6667
12 Br 0.6667 0.3333 0.3333

D(E_F)	0.612	states/eV per atom
calculated volume	21.92	Å³/atom
formation energy (no corrections)	534	meV/atom
total magnetic moment	0.000	μB/atom

---

(4)
The following is a GGA-PBE calculation of HgMo2Br after structural relaxation, from the Alexandria database.

Cell: 2.9602 2.9602 8.1431 Å, 90.00 90.00 90.00°
Positions (direct):
1 Hg 0.0000 0.0000 0.0000
2 Mo 0.5000 0.5000 0.2605
3 Mo 0.5000 0.5000 0.7395
4 Br 0.0000 0.0000 0.5000

D(E_F)	1.306	states/eV per atom
calculated volume	17.84	Å³/atom
formation energy (no corrections)	1000	meV/atom
total magnetic moment	0.000	μB/atom